Here is a relaxed ZrTlTc4 crystal from Alexandria via LeMat-Bulk. Energies are from PBE-GGA.

```
ZrTlTc4
1.0
0.000 3.729 3.729
3.729 0.000 3.729
3.729 3.729 0.000
Zr Tl Tc
1 1 4
direct
0.000 0.000 0.000
0.250 0.250 0.250
0.127 0.624 0.624
0.624 0.127 0.624
0.624 0.624 0.127
0.624 0.624 0.624
```

Crystal system   cubic

Here is a relaxed Zr2TlTc crystal from Alexandria via LeMat-Bulk. Energies are from PBE-GGA.

```
Zr2TlTc
1.0
4.754 0.000 0.000
0.000 4.754 0.000
0.000 0.000 3.582
Zr Tl Tc
2 1 1
direct
0.000 0.500 0.000
0.500 0.000 0.000
0.000 0.000 0.500
0.500 0.500 0.500
```

Crystal system   tetragonal

Here is a relaxed ZrTlTc2 crystal from Alexandria via LeMat-Bulk. Energies are from PBE-GGA.

```
ZrTlTc2
1.0
-1.693 2.375 4.545
1.693 -2.375 4.545
1.693 2.375 -4.545
Zr Tl Tc
1 1 2
direct
0.000 0.000 0.000
0.500 0.500 0.000
0.238 0.738 0.500
0.762 0.262 0.500
```

Crystal system   orthorhombic

Here is a relaxed ZrTlTc2 crystal from Alexandria via LeMat-Bulk. Energies are from PBE-GGA.

```
ZrTlTc2
1.0
3.038 0.000 0.000
0.000 3.038 0.000
0.000 0.000 8.116
Zr Tl Tc
1 1 2
direct
0.000 0.000 0.000
0.500 0.500 0.694
0.000 0.000 0.424
0.500 0.500 0.249
```

Crystal system   tetragonal

Here is a relaxed Zr2TlTc crystal from Alexandria via LeMat-Bulk. Energies are from PBE-GGA.

```
Zr2TlTc
1.0
3.355 0.000 0.000
0.000 4.586 0.000
-1.225 0.000 5.453
Zr Tl Tc
2 1 1
direct
0.000 0.000 0.000
0.241 0.500 0.648
0.668 0.000 0.456
0.570 0.500 0.109
```

Crystal system   monoclinic

Here is a relaxed Zr2TlTc crystal from Alexandria via LeMat-Bulk. Energies are from PBE-GGA.

```
Zr2TlTc
1.0
-3.879 3.879 2.916
3.879 -3.879 2.916
3.879 3.879 -2.916
Zr Tl Tc
4 2 2
direct
0.077 0.125 0.452
0.375 0.923 0.048
0.673 0.625 0.548
0.875 0.327 0.952
0.250 0.750 0.500
0.500 0.500 0.000
0.000 0.000 0.000
0.750 0.250 0.500
```

Crystal system   tetragonal

Here is a relaxed ZrTlTc2 crystal from Alexandria via LeMat-Bulk. Energies are from PBE-GGA.

```
ZrTlTc2
1.0
-2.065 2.065 9.758
2.065 -2.065 9.758
2.065 2.065 -9.758
Zr Tl Tc
2 2 4
direct
0.000 0.000 0.000
0.750 0.250 0.500
0.250 0.750 0.500
0.500 0.500 0.000
0.040 0.625 0.915
0.375 0.290 0.415
0.710 0.125 0.085
0.875 0.960 0.585
```

Crystal system   tetragonal

Here is a relaxed ZrTlTc2 crystal from Alexandria via LeMat-Bulk. Energies are from PBE-GGA.

```
ZrTlTc2
1.0
3.402 0.000 0.000
0.000 3.402 0.000
0.000 0.000 6.291
Zr Tl Tc
1 1 2
direct
0.000 0.000 0.000
0.000 0.000 0.500
0.500 0.500 0.240
0.500 0.500 0.760
```

Crystal system   tetragonal

no.,formation energy (eV/atom)
1,0.1021
2,-0.0881
3,0.3326
4,0.0639
5,-0.0391
6,0.2689
7,0.6729
8,0.2481